No. 1
Computed, not measured: TbNdAu6 after structural relaxation at the PBE level of DFT.

abc: 5.0747 6.2765 5.1662
angles: 90.00 90.00 90.00
Fractional coordinates of all 8 atoms:
Au  0.0000  0.0000  0.8331
Au  0.0000  0.2351  0.3378
Au  0.5000  0.5000  0.1768
Au  0.5000  0.2507  0.6593
Au  0.0000  0.7649  0.3378
Au  0.5000  0.7493  0.6593
Nd  0.0000  0.5000  0.8416
Tb  0.5000  0.0000  0.1542

Calculated values
VASP energy: -4.32 eV/atom
Space-group type: No. 25
E_form: -0.70 eV per atom

No. 2
Computed, not measured: BIrOs after structural relaxation at the PBE level of DFT.

abc: 3.7688 3.7688 3.7688
angles: 60.00 60.00 60.00
Fractional coordinates of all 3 atoms:
B  0.0000  0.0000  0.0000
Ir  0.2500  0.2500  0.2500
Os  0.7500  0.7500  0.7500

Calculated values
VASP energy: -8.64 eV/atom
Space-group type: No. 216

No. 3
Computed, not measured: Ga2Ag2TeSe3 after structural relaxation at the PBE level of DFT.

abc: 7.1353 7.1353 6.2030
angles: 114.75 114.75 50.86
Fractional coordinates of all 8 atoms:
Ag  0.0061  0.7325  0.1285
Ag  0.2675  0.9939  0.8715
Se  0.1216  0.3781  0.7185
Se  0.6219  0.8784  0.2815
Se  0.3976  0.6024  0.5000
Ga  0.7443  0.5130  0.3886
Ga  0.4870  0.2557  0.6114
Te  0.8541  0.1459  0.0000

Calculated values
VASP energy: -3.57 eV/atom
Space-group type: No. 5

No. 4
Computed, not measured: GdHoTe2 after structural relaxation at the PBE level of DFT.

abc: 4.3570 4.3570 6.1686
angles: 90.00 90.00 90.00
Fractional coordinates of all 4 atoms:
Gd  0.0000  0.0000  0.0000
Te  0.0000  0.0000  0.5000
Te  0.5000  0.5000  0.0000
Ho  0.5000  0.5000  0.5000

Calculated values
VASP energy: -5.17 eV/atom
Space-group type: No. 123